Density functional theory data (PBE) for a relaxed structure of Tb3Sm5Ho4.

Lattice parameters (Å, degrees): 8.615 8.615 9.291 114.81 114.81 40.08
Fractional positions:
Tb 0.000 0.000 0.000
Tb 0.292 0.292 0.772
Tb 0.708 0.708 0.228
Sm 0.076 0.076 0.700
Sm 0.174 0.174 0.386
Sm 0.500 0.500 0.000
Sm 0.826 0.826 0.614
Sm 0.924 0.924 0.300
Ho 0.286 0.286 0.122
Ho 0.419 0.419 0.560
Ho 0.581 0.581 0.440
Ho 0.714 0.714 0.878

Computed properties:
E_form: 0.229 eV/atom

=====

Density functional theory data (PBE) for a relaxed structure of TbSm7Ho12.

Lattice parameters (Å, degrees): 8.695 8.695 8.695 94.68 94.68 94.68
Fractional positions:
Tb 0.000 0.000 0.000
Sm 0.029 0.359 0.096
Sm 0.096 0.029 0.359
Sm 0.359 0.096 0.029
Sm 0.500 0.500 0.500
Sm 0.641 0.904 0.971
Sm 0.904 0.971 0.641
Sm 0.971 0.641 0.904
Ho 0.156 0.504 0.428
Ho 0.169 0.308 0.747
Ho 0.253 0.831 0.692
Ho 0.308 0.747 0.169
Ho 0.428 0.156 0.504
Ho 0.496 0.572 0.844
Ho 0.504 0.428 0.156
Ho 0.572 0.844 0.496
Ho 0.692 0.253 0.831
Ho 0.747 0.169 0.308
Ho 0.831 0.692 0.253
Ho 0.844 0.496 0.572

Computed properties:
E_form: 0.287 eV/atom

=====

Density functional theory data (PBE) for a relaxed structure of TbSm5Ho2.

Lattice parameters (Å, degrees): 5.785 11.353 8.585 90.00 106.35 90.00
Fractional positions:
Tb 0.002 0.250 0.152
Tb 0.998 0.750 0.848
Sm 0.163 0.576 0.209
Sm 0.163 0.924 0.209
Sm 0.265 0.250 0.580
Sm 0.304 0.580 0.623
Sm 0.304 0.920 0.623
Sm 0.696 0.080 0.377
Sm 0.696 0.420 0.377
Sm 0.735 0.750 0.420
Sm 0.837 0.076 0.791
Sm 0.837 0.424 0.791
Ho 0.392 0.118 0.965
Ho 0.392 0.382 0.965
Ho 0.608 0.618 0.035
Ho 0.608 0.882 0.035

Computed properties:
E_form: 0.168 eV/atom

=====

Density functional theory data (PBE) for a relaxed structure of TbSm5Ho.

Lattice parameters (Å, degrees): 6.262 6.267 6.955 99.61 99.41 112.18
Fractional positions:
Tb 0.000 0.000 0.000
Sm 0.095 0.526 0.270
Sm 0.475 0.905 0.730
Sm 0.500 0.500 0.000
Sm 0.525 0.095 0.270
Sm 0.905 0.474 0.730
Ho 0.000 0.000 0.500

Computed properties:
E_form: 0.185 eV/atom

=====

Density functional theory data (PBE) for a relaxed structure of TbSm3Ho6.

Lattice parameters (Å, degrees): 6.613 6.613 9.588 110.70 110.70 59.51
Fractional positions:
Tb 0.000 0.000 0.000
Sm 0.431 0.431 0.803
Sm 0.500 0.500 0.500
Sm 0.569 0.569 0.197
Ho 0.061 0.566 0.191
Ho 0.138 0.138 0.422
Ho 0.434 0.939 0.809
Ho 0.566 0.061 0.191
Ho 0.862 0.862 0.578
Ho 0.939 0.434 0.809

Computed properties:
E_form: 0.225 eV/atom

=====

Density functional theory data (PBE) for a relaxed structure of Tb2SmHo.

Lattice parameters (Å, degrees): 3.589 3.589 34.634 90.00 90.00 120.00
Fractional positions:
Tb 0.000 0.000 0.000
Tb 0.000 0.000 0.169
Tb 0.333 0.667 0.667
Tb 0.333 0.667 0.835
Tb 0.667 0.333 0.333
Tb 0.667 0.333 0.502
Sm 0.000 0.000 0.418
Sm 0.333 0.667 0.085
Sm 0.667 0.333 0.751
Ho 0.000 0.000 0.584
Ho 0.333 0.667 0.251
Ho 0.667 0.333 0.918

Computed properties:
E_form: 0.013 eV/atom

=====

Density functional theory data (PBE) for a relaxed structure of Tb2Sm8Ho3.

Lattice parameters (Å, degrees): 10.871 10.871 5.675 90.01 90.01 41.38
Fractional positions:
Tb 0.240 0.240 0.499
Tb 0.760 0.760 0.501
Sm 0.132 0.132 0.000
Sm 0.187 0.601 0.500
Sm 0.329 0.329 0.000
Sm 0.399 0.813 0.500
Sm 0.601 0.187 0.500
Sm 0.671 0.671 0.000
Sm 0.813 0.399 0.500
Sm 0.868 0.868 0.000
Ho 0.000 0.000 0.500
Ho 0.286 0.714 0.000
Ho 0.714 0.286 0.000

Computed properties:
E_form: 0.214 eV/atom

=====

Density functional theory data (PBE) for a relaxed structure of Tb2Sm5Ho.

Lattice parameters (Å, degrees): 6.824 9.310 9.319 85.61 71.67 71.70
Fractional positions:
Tb 0.124 0.146 0.480
Tb 0.376 0.604 0.273
Tb 0.624 0.396 0.727
Tb 0.876 0.854 0.520
Sm 0.124 0.647 0.980
Sm 0.126 0.479 0.644
Sm 0.127 0.979 0.148
Sm 0.375 0.103 0.769
Sm 0.376 0.273 0.106
Sm 0.624 0.727 0.894
Sm 0.625 0.897 0.231
Sm 0.873 0.021 0.852
Sm 0.874 0.521 0.356
Sm 0.876 0.353 0.020
Ho 0.374 0.771 0.603
Ho 0.626 0.229 0.397

Computed properties:
E_form: 0.023 eV/atom

=====

Density functional theory data (PBE) for a relaxed structure of Tb3Sm12Ho.

Lattice parameters (Å, degrees): 5.105 5.105 20.377 90.00 90.00 90.00
Fractional positions:
Tb 0.000 0.000 0.000
Tb 0.000 0.000 0.250
Tb 0.000 0.000 0.750
Sm 0.000 0.500 0.125
Sm 0.000 0.500 0.375
Sm 0.000 0.500 0.625
Sm 0.000 0.500 0.875
Sm 0.500 0.000 0.125
Sm 0.500 0.000 0.375
Sm 0.500 0.000 0.625
Sm 0.500 0.000 0.875
Sm 0.500 0.500 0.000
Sm 0.500 0.500 0.250
Sm 0.500 0.500 0.500
Sm 0.500 0.500 0.750
Ho 0.000 0.000 0.500

Computed properties:
E_form: 0.016 eV/atom

=====

Density functional theory data (PBE) for a relaxed structure of Tb12Sm2Ho5.

Lattice parameters (Å, degrees): 7.007 8.608 11.486 108.07 107.71 90.04
Fractional positions:
Tb 0.047 0.206 0.101
Tb 0.048 0.691 0.596
Tb 0.136 0.614 0.286
Tb 0.350 0.386 0.715
Tb 0.351 0.921 0.202
Tb 0.446 0.794 0.899
Tb 0.554 0.206 0.101
Tb 0.649 0.079 0.798
Tb 0.650 0.614 0.285
Tb 0.864 0.386 0.714
Tb 0.952 0.309 0.404
Tb 0.953 0.794 0.899
Sm 0.247 0.000 0.500
Sm 0.753 0.000 0.500
Ho 0.152 0.095 0.804
Ho 0.250 0.506 0.000
Ho 0.500 0.500 0.500
Ho 0.750 0.494 0.000
Ho 0.848 0.905 0.196

Computed properties:
E_form: 0.138 eV/atom

=====

Density functional theory data (PBE) for a relaxed structure of Tb5Sm4Ho.

Lattice parameters (Å, degrees): 8.085 8.085 8.085 97.85 97.85 136.62
Fractional positions:
Tb 0.000 0.000 0.000
Tb 0.076 0.076 0.622
Tb 0.076 0.454 0.000
Tb 0.454 0.076 0.000
Tb 0.454 0.454 0.378
Sm 0.083 0.760 0.324
Sm 0.436 0.760 0.676
Sm 0.760 0.083 0.324
Sm 0.760 0.436 0.676
Ho 0.527 0.527 0.000

Computed properties:
E_form: 0.247 eV/atom

=====

Density functional theory data (PBE) for a relaxed structure of Tb4Sm3Ho8.

Lattice parameters (Å, degrees): 9.243 9.243 6.729 111.33 111.33 87.49
Fractional positions:
Tb 0.000 0.000 0.000
Tb 0.000 0.000 0.500
Tb 0.000 0.500 0.000
Tb 0.500 0.000 0.000
Sm 0.000 0.500 0.500
Sm 0.500 0.000 0.500
Sm 0.500 0.500 0.500
Ho 0.254 0.746 0.500
Ho 0.264 0.264 0.008
Ho 0.268 0.268 0.532
Ho 0.360 0.640 0.000
Ho 0.640 0.360 0.000
Ho 0.732 0.732 0.468
Ho 0.736 0.736 0.992
Ho 0.746 0.254 0.500

Computed properties:
E_form: 0.391 eV/atom

=====

Density functional theory data (PBE) for a relaxed structure of Tb2SmHo.

Lattice parameters (Å, degrees): 5.043 5.043 5.048 90.00 90.00 90.00
Fractional positions:
Tb 0.000 0.500 0.000
Tb 0.500 0.000 0.000
Sm 0.000 0.000 0.500
Ho 0.500 0.500 0.500

Computed properties:
E_form: 0.019 eV/atom

=====

Density functional theory data (PBE) for a relaxed structure of TbSm2Ho3.

Lattice parameters (Å, degrees): 8.961 8.961 9.949 123.02 123.02 36.24
Fractional positions:
Tb 0.132 0.132 0.133
Tb 0.868 0.868 0.867
Sm 0.231 0.231 0.875
Sm 0.491 0.491 0.142
Sm 0.509 0.509 0.858
Sm 0.769 0.769 0.125
Ho 0.046 0.046 0.390
Ho 0.291 0.291 0.574
Ho 0.386 0.386 0.343
Ho 0.614 0.614 0.657
Ho 0.709 0.709 0.426
Ho 0.954 0.954 0.610

Computed properties:
E_form: 0.102 eV/atom

=====

Density functional theory data (PBE) for a relaxed structure of Tb2SmHo.

Lattice parameters (Å, degrees): 3.682 5.914 11.893 90.00 90.00 90.00
Fractional positions:
Tb 0.000 0.000 0.000
Tb 0.000 0.500 0.251
Tb 0.500 0.000 0.751
Tb 0.500 0.500 0.500
Sm 0.000 0.000 0.494
Sm 0.500 0.500 0.994
Ho 0.000 0.500 0.743
Ho 0.500 0.000 0.243

Computed properties:
E_form: 0.125 eV/atom

=====

Density functional theory data (PBE) for a relaxed structure of TbSm6Ho4.

Lattice parameters (Å, degrees): 5.630 5.630 25.688 90.00 90.00 117.81
Fractional positions:
Tb 0.213 0.787 0.750
Tb 0.787 0.213 0.250
Sm 0.122 0.878 0.182
Sm 0.122 0.878 0.318
Sm 0.202 0.798 0.602
Sm 0.202 0.798 0.898
Sm 0.449 0.551 0.250
Sm 0.500 0.500 0.000
Sm 0.500 0.500 0.500
Sm 0.551 0.449 0.750
Sm 0.798 0.202 0.102
Sm 0.798 0.202 0.398
Sm 0.878 0.122 0.682
Sm 0.878 0.122 0.818
Ho 0.149 0.851 0.044
Ho 0.149 0.851 0.456
Ho 0.455 0.545 0.123
Ho 0.455 0.545 0.377
Ho 0.545 0.455 0.623
Ho 0.545 0.455 0.877
Ho 0.851 0.149 0.544
Ho 0.851 0.149 0.956

Computed properties:
E_form: 0.120 eV/atom

=====

Density functional theory data (PBE) for a relaxed structure of TbSm4Ho6.

Lattice parameters (Å, degrees): 9.693 9.693 9.693 140.13 140.13 57.65
Fractional positions:
Tb 0.000 0.000 0.000
Sm 0.014 0.636 0.000
Sm 0.364 0.364 0.377
Sm 0.636 0.014 0.000
Sm 0.986 0.986 0.623
Ho 0.000 0.500 0.500
Ho 0.195 0.195 0.643
Ho 0.449 0.805 0.000
Ho 0.500 0.000 0.500
Ho 0.551 0.551 0.357
Ho 0.805 0.449 0.000

Computed properties:
E_form: 0.304 eV/atom

=====

Density functional theory data (PBE) for a relaxed structure of TbSmHo2.

Lattice parameters (Å, degrees): 5.038 5.038 5.019 90.00 90.00 90.00
Fractional positions:
Tb 0.000 0.000 0.000
Sm 0.500 0.500 0.000
Ho 0.000 0.500 0.500
Ho 0.500 0.000 0.500

Computed properties:
E_form: 0.020 eV/atom

=====

Density functional theory data (PBE) for a relaxed structure of Tb3Sm2Ho.

Lattice parameters (Å, degrees): 8.992 8.992 9.750 122.76 122.76 36.67
Fractional positions:
Tb 0.001 0.001 0.169
Tb 0.250 0.250 0.089
Tb 0.375 0.375 0.880
Tb 0.625 0.625 0.120
Tb 0.750 0.750 0.911
Tb 0.999 0.999 0.831
Sm 0.250 0.250 0.425
Sm 0.499 0.499 0.665
Sm 0.501 0.501 0.335
Sm 0.750 0.750 0.575
Ho 0.125 0.125 0.630
Ho 0.875 0.875 0.370

Computed properties:
E_form: 0.064 eV/atom

=====

Density functional theory data (PBE) for a relaxed structure of TbSm2Ho7.

Lattice parameters (Å, degrees): 6.141 6.145 9.380 102.58 109.08 99.50
Fractional positions:
Tb 0.000 0.000 0.000
Sm 0.400 0.500 0.300
Sm 0.600 0.500 0.700
Ho 0.000 0.500 0.500
Ho 0.199 0.999 0.400
Ho 0.201 0.500 0.901
Ho 0.399 0.999 0.800
Ho 0.601 0.001 0.200
Ho 0.799 0.500 0.099
Ho 0.801 0.001 0.600

Computed properties:
E_form: 0.020 eV/atom

=====

How do the records compare in DOS at the Fermi energy? In the order shown, they have 19.6, 19.4, 26.1, 8.6, 17.3, 17.1, 19.9, 29.5, 23.2, 27.2, 13.8, 29.8, 6.0, 19.3, 17.8, 38.8, 14.3, 5.9, 20.4, 14.1 states/eV/cell.
How do the records compare in V? In the order shown, they have 397.2, 650.4, 541.0, 241.4, 330.0, 386.4, 443.4, 533.4, 531.1, 623.9, 337.3, 496.2, 128.4, 386.9, 258.9, 720.2, 371.0, 127.4, 386.8, 315.6 Å³ per cell.